This record from Alexandria via LeMat-Bulk describes crystalline BaLi2Cl4 at its relaxed geometry. The functional is PBE-GGA.

Its size of the total moment is 0.0 μB/cell. Its density of states at the Fermi level is 0.000 states/eV/atom. The uncorrected formation energy is -2091 meV per atom.

It has space group I-42d (No. 122), with a = 9.8206 Å, b = 9.8206 Å, c = 7.6926 Å, α = 90.00°, β = 90.00° and γ = 90.00°. Symmetry generates all atoms from Ba at (0.0000, 0.0000, 0.0000), Li at (0.0740, 0.7500, 0.6250) and Cl at (0.0417, 0.1973, 0.3499).